[1]
# Th2PS2 GGA-PBE relaxed
data_Th2PS2
_chemical_formula_sum 'Th4 P2 S4'
_cell_length_a 7.216
_cell_length_b 4.165
_cell_length_c 10.846
_cell_angle_alpha 90.00
_cell_angle_beta 104.18
_cell_angle_gamma 90.00
_symmetry_space_group_name_H-M 'C 1 2/m 1'
_symmetry_Int_Tables_number 12
loop_
_symmetry_equiv_pos_as_xyz
'x,y,z'
'-x,-y,-z'
'-x,y,-z'
'x,-y,z'
'x+1/2,y+1/2,z'
'-x+1/2,-y+1/2,-z'
'-x+1/2,y+1/2,-z'
'x+1/2,-y+1/2,z'
loop_
_atom_site_label
_atom_site_type_symbol
_atom_site_fract_x
_atom_site_fract_y
_atom_site_fract_z
Th1 Th 0.227 0.000 0.164
P1 P 0.000 0.500 0.000
S1 S 0.057 0.000 0.703
# total magnetic moment	0.000	μB per atom
# crystal system	monoclinic
# energy above the lowest structure with this stoichiometry	0	meV per atom
# E_form (uncorrected)	-1704.3	meV per atom

[2]
# PtNCl2 GGA-PBE relaxed
data_PtNCl2
_chemical_formula_sum 'Pt4 N4 Cl8'
_cell_length_a 6.391
_cell_length_b 6.391
_cell_length_c 6.391
_cell_angle_alpha 90.00
_cell_angle_beta 90.00
_cell_angle_gamma 90.00
_symmetry_space_group_name_H-M 'F m -3 m'
_symmetry_Int_Tables_number 225
_symmetry_space_group_name_Hall '-F 4 2 3'
loop_
_atom_site_label
_atom_site_type_symbol
_atom_site_fract_x
_atom_site_fract_y
_atom_site_fract_z
Pt1 Pt 0.000 0.000 0.000
N1 N 0.000 0.000 0.500
Cl1 Cl 0.250 0.250 0.250
# total magnetic moment	0.250	μB per atom
# crystal system	cubic
# energy above the lowest structure with this stoichiometry	323	meV per atom
# E_form (uncorrected)	1655.3	meV per atom

[3]
# Tb2Pm2GaIr4 GGA-PBE relaxed
data_Tb2Pm2GaIr4
_chemical_formula_sum 'Tb4 Pm4 Ga2 Ir8'
_cell_length_a 6.594
_cell_length_b 6.594
_cell_length_c 8.991
_cell_angle_alpha 90.00
_cell_angle_beta 90.00
_cell_angle_gamma 90.00
_symmetry_space_group_name_H-M 'I 4/m m m'
_symmetry_Int_Tables_number 139
_symmetry_space_group_name_Hall '-I 4 2'
loop_
_atom_site_label
_atom_site_type_symbol
_atom_site_fract_x
_atom_site_fract_y
_atom_site_fract_z
Tb1 Tb 0.000 0.500 0.250
Pm1 Pm 0.000 0.000 0.191
Ga1 Ga 0.000 0.000 0.500
Ir1 Ir 0.240 0.240 0.000
# total magnetic moment	0.000	μB per atom
# crystal system	tetragonal
# formation enthalpy at 0 K	-0.320	eV/atom

[4]
# Sr2Ca2I GGA-PBE relaxed
data_Sr2Ca2I
_chemical_formula_sum 'Sr4 Ca4 I2'
_cell_length_a 4.679
_cell_length_b 4.679
_cell_length_c 21.728
_cell_angle_alpha 90.00
_cell_angle_beta 90.00
_cell_angle_gamma 90.00
_symmetry_space_group_name_H-M 'I 4/m m m'
_symmetry_Int_Tables_number 139
_symmetry_space_group_name_Hall '-I 4 2'
loop_
_atom_site_label
_atom_site_type_symbol
_atom_site_fract_x
_atom_site_fract_y
_atom_site_fract_z
Sr1 Sr 0.000 0.000 0.100
Ca1 Ca 0.000 0.500 0.250
I1 I 0.000 0.000 0.500
# total magnetic moment	0.000	μB per atom
# crystal system	tetragonal
# energy above the lowest structure with this stoichiometry	86	meV per atom
# E_form (uncorrected)	-179.7	meV per atom

[5]
# SmHo6In4 GGA-PBE relaxed
data_SmHo6In4
_chemical_formula_sum 'Sm1 Ho6 In4'
_cell_length_a 10.0680
_cell_length_b 10.0680
_cell_length_c 3.6997
_cell_angle_alpha 90.00
_cell_angle_beta 90.00
_cell_angle_gamma 120.00
_symmetry_space_group_name_H-M 'P -6 m 2'
_symmetry_Int_Tables_number 187
_symmetry_space_group_name_Hall 'P -6 2'
loop_
_atom_site_label
_atom_site_type_symbol
_atom_site_fract_x
_atom_site_fract_y
_atom_site_fract_z
Sm1 Sm 0.0000 0.0000 0.0000
Ho1 Ho 0.1905 0.3811 0.5000
Ho2 Ho 0.5375 0.0749 0.0000
In1 In 0.3253 0.1626 0.5000
In2 In 0.3333 0.6667 0.0000
# total magnetic moment	0.207	μB per atom
# crystal system	hexagonal
# formation enthalpy at 0 K	-0.291	eV/atom

[6]
# Li2CaPb2 GGA-PBE relaxed
data_Li2CaPb2
_chemical_formula_sum 'Li4 Ca2 Pb4'
_cell_length_a 8.521
_cell_length_b 8.521
_cell_length_c 3.562
_cell_angle_alpha 90.00
_cell_angle_beta 90.00
_cell_angle_gamma 90.00
_symmetry_space_group_name_H-M 'P 4/m b m'
_symmetry_Int_Tables_number 127
_symmetry_space_group_name_Hall '-P 4 2ab'
loop_
_atom_site_label
_atom_site_type_symbol
_atom_site_fract_x
_atom_site_fract_y
_atom_site_fract_z
Li1 Li 0.154 0.346 0.000
Ca1 Ca 0.000 0.000 0.500
Pb1 Pb 0.138 0.638 0.500
# total magnetic moment	0.000	μB per atom
# crystal system	tetragonal
# energy above the lowest structure with this stoichiometry	76	meV per atom
# formation enthalpy at 0 K	-0.281	eV/atom

[7]
# K2LaCl GGA-PBE relaxed
data_K2LaCl
_chemical_formula_sum 'K4 La2 Cl2'
_cell_length_a 3.656
_cell_length_b 7.099
_cell_length_c 13.818
_cell_angle_alpha 90.00
_cell_angle_beta 90.00
_cell_angle_gamma 90.00
_symmetry_space_group_name_H-M 'I m m 2'
_symmetry_Int_Tables_number 44
loop_
_symmetry_equiv_pos_as_xyz
'x,y,z'
'-x,-y,z'
'-x,y,z'
'x,-y,z'
'x+1/2,y+1/2,z+1/2'
'-x+1/2,-y+1/2,z+1/2'
'-x+1/2,y+1/2,z+1/2'
'x+1/2,-y+1/2,z+1/2'
loop_
_atom_site_label
_atom_site_type_symbol
_atom_site_fract_x
_atom_site_fract_y
_atom_site_fract_z
K1 K 0.000 0.000 0.000
K2 K 0.000 0.500 0.180
La1 La 0.000 0.500 0.819
Cl1 Cl 0.000 0.000 0.486
# total magnetic moment	0.006	μB per atom
# crystal system	orthorhombic
# energy above the lowest structure with this stoichiometry	188	meV per atom
# E_form (uncorrected)	-506.8	meV per atom

[8]
# Li2PaS3 GGA-PBE relaxed
data_Li2PaS3
_chemical_formula_sum 'Li4 Pa2 S6'
_cell_length_a 11.932
_cell_length_b 5.478
_cell_length_c 4.050
_cell_angle_alpha 90.00
_cell_angle_beta 90.72
_cell_angle_gamma 90.00
_symmetry_space_group_name_H-M 'C 1 2/m 1'
_symmetry_Int_Tables_number 12
loop_
_symmetry_equiv_pos_as_xyz
'x,y,z'
'-x,-y,-z'
'-x,y,-z'
'x,-y,z'
'x+1/2,y+1/2,z'
'-x+1/2,-y+1/2,-z'
'-x+1/2,y+1/2,-z'
'x+1/2,-y+1/2,z'
loop_
_atom_site_label
_atom_site_type_symbol
_atom_site_fract_x
_atom_site_fract_y
_atom_site_fract_z
Li1 Li 0.140 0.000 0.004
Pa1 Pa 0.000 0.500 0.500
S1 S 0.000 0.000 0.500
S2 S 0.150 0.500 0.006
# total magnetic moment	0.168	μB per atom
# crystal system	monoclinic
# energy above the lowest structure with this stoichiometry	0	meV per atom
# E_form (uncorrected)	-1473.8	meV per atom

[9]
# Nd2NbInO7 GGA-PBE relaxed
data_Nd2NbInO7
_chemical_formula_sum 'Nd8 Nb4 In4 O28'
_cell_length_a 7.478
_cell_length_b 7.698
_cell_length_c 10.760
_cell_angle_alpha 90.00
_cell_angle_beta 90.00
_cell_angle_gamma 90.00
_symmetry_space_group_name_H-M 'I m m a'
_symmetry_Int_Tables_number 74
_symmetry_space_group_name_Hall '-I 2b 2'
loop_
_atom_site_label
_atom_site_type_symbol
_atom_site_fract_x
_atom_site_fract_y
_atom_site_fract_z
Nd1 Nd 0.000 0.000 0.000
Nd2 Nd 0.250 0.250 0.250
Nb1 Nb 0.000 0.000 0.500
In1 In 0.250 0.250 0.750
O1 O 0.000 0.250 0.127
O2 O 0.000 0.250 0.439
O3 O 0.000 0.250 0.850
O4 O 0.199 0.027 0.624
# total magnetic moment	0.000	μB per atom
# crystal system	orthorhombic
# E_form (uncorrected)	-2766.6	meV per atom

[10]
# TeAs2Br GGA-PBE relaxed
data_TeAs2Br
_chemical_formula_sum 'Te1 As2 Br1'
_cell_length_a 3.964
_cell_length_b 4.004
_cell_length_c 6.812
_cell_angle_alpha 90.00
_cell_angle_beta 90.00
_cell_angle_gamma 90.00
_symmetry_space_group_name_H-M 'P m m m'
_symmetry_Int_Tables_number 47
loop_
_symmetry_equiv_pos_as_xyz
'x,y,z'
'-x,-y,-z'
'-x,-y,z'
'x,y,-z'
'x,-y,-z'
'-x,y,z'
'-x,y,-z'
'x,-y,z'
loop_
_atom_site_label
_atom_site_type_symbol
_atom_site_fract_x
_atom_site_fract_y
_atom_site_fract_z
Te1 Te 0.000 0.000 0.000
As1 As 0.000 0.500 0.500
As2 As 0.500 0.500 0.000
Br1 Br 0.500 0.000 0.500
# total magnetic moment	0.000	μB per atom
# crystal system	orthorhombic
# energy above the lowest structure with this stoichiometry	527	meV per atom
# E_form (uncorrected)	486.1	meV per atom

[11]
# CdTePH GGA-PBE relaxed
data_CdTePH
_chemical_formula_sum 'Cd1 Te1 P1 H1'
_cell_length_a 5.248
_cell_length_b 3.006
_cell_length_c 6.332
_cell_angle_alpha 90.00
_cell_angle_beta 111.20
_cell_angle_gamma 90.00
_symmetry_space_group_name_H-M 'P 1 m 1'
_symmetry_Int_Tables_number 6
loop_
_symmetry_equiv_pos_as_xyz
'x,y,z'
'x,-y,z'
loop_
_atom_site_label
_atom_site_type_symbol
_atom_site_fract_x
_atom_site_fract_y
_atom_site_fract_z
Cd1 Cd 0.000 0.000 0.000
Te1 Te 0.532 0.000 0.535
P1 P 0.997 0.000 0.407
H1 H 0.152 0.500 0.912
# total magnetic moment	0.000	μB per atom
# crystal system	monoclinic
# energy above the lowest structure with this stoichiometry	344	meV per atom

[12]
# Ta2ZnAs GGA-PBE relaxed
data_Ta2ZnAs
_chemical_formula_sum 'Ta2 Zn1 As1'
_cell_length_a 2.930
_cell_length_b 4.082
_cell_length_c 5.774
_cell_angle_alpha 90.00
_cell_angle_beta 103.92
_cell_angle_gamma 90.00
_symmetry_space_group_name_H-M 'P 1 2/m 1'
_symmetry_Int_Tables_number 10
loop_
_symmetry_equiv_pos_as_xyz
'x,y,z'
'-x,-y,-z'
'-x,y,-z'
'x,-y,z'
loop_
_atom_site_label
_atom_site_type_symbol
_atom_site_fract_x
_atom_site_fract_y
_atom_site_fract_z
Ta1 Ta 0.199 0.000 0.252
Zn1 Zn 0.500 0.500 0.000
As1 As 0.000 0.500 0.500
# total magnetic moment	0.000	μB per atom
# crystal system	monoclinic
# energy above the lowest structure with this stoichiometry	52	meV per atom
# formation enthalpy at 0 K	-0.003	eV/atom